1 | MnV3Ru: optimized geometry, PBE.

Unit cell a=6.467 b=6.467 c=5.075 alpha=97.51 beta=97.51 gamma=37.83
Fractional positions:
Mn1 0.196 0.196 0.399
Mn2 0.804 0.804 0.601
V1 0.000 0.000 0.000
V2 0.000 0.000 0.500
V3 0.199 0.199 0.898
V4 0.396 0.396 0.796
V5 0.604 0.604 0.204
V6 0.801 0.801 0.102
Ru1 0.399 0.399 0.297
Ru2 0.601 0.601 0.703

Magnetization: 0.003 μB/cell
Crystal system: monoclinic
Symmetry: C2/m, No. 12

2 | MnV3Ru: optimized geometry, PBE.

Unit cell a=4.224 b=4.224 c=4.224 alpha=90.00 beta=90.00 gamma=90.00
Fractional positions:
Mn1 0.000 0.000 0.000
V1 0.000 0.000 0.500
V2 0.000 0.500 0.000
V3 0.500 0.000 0.000
Ru1 0.500 0.500 0.500

Magnetization: 0.001 μB/cell
Crystal system: cubic
Symmetry: Pm-3m, No. 221

Most stable: 1 (next structure +1032 meV per atom)

1 | Mn2RuW: optimized geometry, PBE.

Unit cell a=3.125 b=4.111 c=4.230 alpha=90.00 beta=90.00 gamma=90.00
Fractional positions:
Mn1 0.000 0.000 0.000
Mn2 0.500 0.000 0.500
Ru1 0.000 0.500 0.500
W1 0.500 0.500 0.000

Magnetization: 3.672 μB/cell
Crystal system: orthorhombic
Symmetry: Pmmm, No. 47

2 | Mn2RuW: optimized geometry, PBE.

Unit cell a=3.764 b=3.775 c=7.492 alpha=90.00 beta=90.00 gamma=90.00
Fractional positions:
Mn1 0.000 0.000 0.250
Mn2 0.000 0.000 0.750
Mn3 0.500 0.500 0.250
Mn4 0.500 0.500 0.750
Ru1 0.000 0.500 0.000
Ru2 0.500 0.000 0.500
W1 0.000 0.500 0.500
W2 0.500 0.000 0.000

Magnetization: 5.610 μB/cell
Crystal system: orthorhombic
Symmetry: Immm, No. 71

Most stable: 1 (next structure +53 meV per atom)

1 | Mn2RuW: optimized geometry, PBE.

Unit cell a=3.767 b=3.767 c=7.671 alpha=90.00 beta=90.00 gamma=90.00
Fractional positions:
Mn1 0.000 0.000 0.000
Mn2 0.000 0.500 0.250
Mn3 0.500 0.000 0.750
Mn4 0.500 0.500 0.500
Ru1 0.000 0.500 0.750
Ru2 0.500 0.000 0.250
W1 0.000 0.000 0.500
W2 0.500 0.500 0.000

Magnetization: 1.457 μB/cell
Crystal system: tetragonal
Symmetry: I-4m2, No. 119

2 | Mn2RuW: optimized geometry, PBE.

Unit cell a=3.039 b=3.039 c=5.867 alpha=90.00 beta=90.00 gamma=90.00
Fractional positions:
Mn1 0.000 0.000 0.000
Mn2 0.500 0.500 0.229
Ru1 0.000 0.000 0.486
W1 0.500 0.500 0.759

Magnetization: 3.651 μB/cell
Crystal system: tetragonal
Symmetry: P4mm, No. 99

Most stable: 1 (next structure +14 meV per atom)

1 | Mn2RuW: optimized geometry, PBE.

Unit cell a=5.385 b=7.238 c=2.725 alpha=90.00 beta=90.00 gamma=90.00
Fractional positions:
Mn1 0.250 0.250 0.000
Mn2 0.250 0.750 0.000
Mn3 0.750 0.250 0.000
Mn4 0.750 0.750 0.000
Ru1 0.000 0.000 0.500
Ru2 0.500 0.500 0.500
W1 0.000 0.500 0.500
W2 0.500 0.000 0.500

Magnetization: 4.854 μB/cell
Crystal system: orthorhombic
Symmetry: Cmmm, No. 65

2 | Mn2RuW: optimized geometry, PBE.

Unit cell a=5.217 b=8.147 c=2.664 alpha=90.00 beta=105.84 gamma=90.00
Fractional positions:
Mn1 0.250 0.250 0.000
Mn2 0.250 0.750 0.000
Mn3 0.750 0.250 0.000
Mn4 0.750 0.750 0.000
Ru1 0.000 0.000 0.500
Ru2 0.500 0.500 0.500
W1 0.000 0.500 0.500
W2 0.500 0.000 0.500

Magnetization: 8.031 μB/cell
Crystal system: monoclinic
Symmetry: C2/m, No. 12

Most stable: 1 (next structure +16 meV per atom)

1 | Mn2RuW: optimized geometry, PBE.

Unit cell a=2.723 b=2.723 c=25.861 alpha=90.00 beta=90.00 gamma=120.00
Fractional positions:
Mn1 0.000 0.000 0.000
Mn2 0.000 0.000 0.260
Mn3 0.333 0.667 0.667
Mn4 0.333 0.667 0.926
Mn5 0.667 0.333 0.333
Mn6 0.667 0.333 0.593
Ru1 0.000 0.000 0.751
Ru2 0.333 0.667 0.418
Ru3 0.667 0.333 0.085
W1 0.000 0.000 0.504
W2 0.333 0.667 0.171
W3 0.667 0.333 0.838

Magnetization: 2.027 μB/cell
Crystal system: trigonal
Symmetry: R3m, No. 160

2 | Mn2RuW: optimized geometry, PBE.

Unit cell a=6.019 b=6.019 c=6.019 alpha=90.00 beta=90.00 gamma=90.00
Fractional positions:
Mn1 0.000 0.000 0.000
Mn2 0.000 0.500 0.500
Mn3 0.250 0.250 0.250
Mn4 0.250 0.750 0.750
Mn5 0.500 0.000 0.500
Mn6 0.500 0.500 0.000
Mn7 0.750 0.250 0.750
Mn8 0.750 0.750 0.250
Ru1 0.000 0.000 0.500
Ru2 0.000 0.500 0.000
Ru3 0.500 0.000 0.000
Ru4 0.500 0.500 0.500
W1 0.250 0.250 0.750
W2 0.250 0.750 0.250
W3 0.750 0.250 0.250
W4 0.750 0.750 0.750

Magnetization: 14.840 μB/cell
Crystal system: cubic
Symmetry: F-43m, No. 216

Most stable: 2 (next structure +163 meV per atom)

1 | Mn2RuW: optimized geometry, PBE.

Unit cell a=8.865 b=2.698 c=4.556 alpha=90.00 beta=101.05 gamma=90.00
Fractional positions:
Mn1 0.000 0.000 0.000
Mn2 0.238 0.500 0.226
Mn3 0.500 0.500 0.000
Mn4 0.738 0.000 0.226
Ru1 0.257 0.000 0.760
Ru2 0.757 0.500 0.760
W1 0.496 0.000 0.492
W2 0.996 0.500 0.492

Magnetization: 0.927 μB/cell
Crystal system: monoclinic
Symmetry: Cm, No. 8

2 | Mn2RuW: optimized geometry, PBE.

Unit cell a=3.753 b=3.762 c=7.557 alpha=90.00 beta=90.00 gamma=90.00
Fractional positions:
Mn1 0.000 0.000 0.235
Mn2 0.000 0.000 0.765
Mn3 0.500 0.500 0.235
Mn4 0.500 0.500 0.765
Ru1 0.000 0.500 0.000
Ru2 0.500 0.000 0.000
W1 0.000 0.500 0.500
W2 0.500 0.000 0.500

Magnetization: 4.681 μB/cell
Crystal system: orthorhombic
Symmetry: Cmmm, No. 65

3 | Mn2RuW: optimized geometry, PBE.

Unit cell a=3.067 b=4.173 c=8.541 alpha=90.00 beta=90.00 gamma=90.00
Fractional positions:
Mn1 0.000 0.000 0.000
Mn2 0.000 0.500 0.255
Mn3 0.500 0.000 0.755
Mn4 0.500 0.500 0.500
Ru1 0.000 0.500 0.751
Ru2 0.500 0.000 0.251
W1 0.000 0.000 0.504
W2 0.500 0.500 0.004

Magnetization: 9.347 μB/cell
Crystal system: orthorhombic
Symmetry: Imm2, No. 44

4 | Mn2RuW: optimized geometry, PBE.

Unit cell a=4.171 b=4.171 c=3.127 alpha=90.00 beta=90.00 gamma=90.00
Fractional positions:
Mn1 0.000 0.500 0.000
Mn2 0.500 0.000 0.000
Ru1 0.000 0.000 0.500
W1 0.500 0.500 0.500

Magnetization: 4.257 μB/cell
Crystal system: tetragonal
Symmetry: P4/mmm, No. 123

Most stable: 4 (next structure +27 meV per atom)

1 | Mn2RuW: optimized geometry, PBE.

Unit cell a=3.072 b=3.072 c=5.789 alpha=90.00 beta=90.00 gamma=90.00
Fractional positions:
Mn1 0.000 0.000 0.248
Mn2 0.000 0.000 0.752
Ru1 0.500 0.500 0.500
W1 0.500 0.500 0.000

Magnetization: 4.371 μB/cell
Crystal system: tetragonal
Symmetry: P4/mmm, No. 123

2 | Mn2RuW: optimized geometry, PBE.

Unit cell a=3.616 b=3.616 c=18.403 alpha=90.00 beta=90.00 gamma=90.00
Fractional positions:
Mn1 0.248 0.250 0.125
Mn2 0.250 0.748 0.375
Mn3 0.250 0.752 0.875
Mn4 0.252 0.250 0.625
Mn5 0.748 0.750 0.625
Mn6 0.750 0.248 0.875
Mn7 0.750 0.252 0.375
Mn8 0.752 0.750 0.125
Ru1 0.000 0.000 0.000
Ru2 0.000 0.500 0.250
Ru3 0.500 0.000 0.750
Ru4 0.500 0.500 0.500
W1 0.000 0.000 0.500
W2 0.000 0.500 0.750
W3 0.500 0.000 0.250
W4 0.500 0.500 0.000

Magnetization: 22.037 μB/cell
Crystal system: tetragonal
Symmetry: I-42d, No. 122

Most stable: 1 (next structure +586 meV per atom)

1 | MnRuW2: optimized geometry, PBE.

Unit cell a=2.764 b=2.764 c=27.274 alpha=90.00 beta=90.00 gamma=120.00
Fractional positions:
Mn1 0.000 0.000 0.000
Mn2 0.333 0.667 0.667
Mn3 0.667 0.333 0.333
Ru1 0.000 0.000 0.746
Ru2 0.333 0.667 0.413
Ru3 0.667 0.333 0.079
W1 0.000 0.000 0.251
W2 0.000 0.000 0.493
W3 0.333 0.667 0.160
W4 0.333 0.667 0.918
W5 0.667 0.333 0.584
W6 0.667 0.333 0.827

Magnetization: 8.713 μB/cell
Crystal system: trigonal
Symmetry: R3m, No. 160

2 | MnRuW2: optimized geometry, PBE.

Unit cell a=3.870 b=3.870 c=7.846 alpha=90.00 beta=90.00 gamma=90.00
Fractional positions:
Mn1 0.000 0.000 0.000
Mn2 0.500 0.500 0.500
Ru1 0.000 0.000 0.500
Ru2 0.500 0.500 0.000
W1 0.000 0.500 0.250
W2 0.000 0.500 0.750
W3 0.500 0.000 0.250
W4 0.500 0.000 0.750

Magnetization: 4.273 μB/cell
Crystal system: tetragonal
Symmetry: I4/mmm, No. 139

Most stable: 2 (next structure +137 meV per atom)